A plane-wave DFT calculation with PBE-GGA was carried out for BeFeSi3 after structural relaxation.

Structure (POSCAR):
```
BeFeSi3
1.0
4.1254 0.0000 0.0000
0.0000 4.1254 0.0000
0.0000 0.0000 4.1254
Be Fe Si
1 1 3
Direct
0.0000 0.0000 0.0000
0.5000 0.5000 0.5000
0.0000 0.0000 0.5000
0.0000 0.5000 0.0000
0.5000 0.0000 0.0000
```

The calculation puts the total magnetization at 0.00 Bohr magnetons per cell. The value obtained for the uncorrected formation energy is 521.6 kJ/mol of formula units. As for the crystal system: cubic.

---

A plane-wave DFT calculation with PBE-GGA was carried out for La4IrO10 after structural relaxation.

Structure (POSCAR):
```
La4IrO10
1.0
-4.3685 4.3685 2.8244
4.3685 -4.3685 2.8244
4.3685 4.3685 -2.8244
La Ir O
4 1 10
Direct
0.0995 0.3026 0.4021
0.3026 0.9005 0.2032
0.6974 0.0995 0.7968
0.9005 0.6974 0.5979
0.5000 0.5000 0.0000
0.1122 0.1916 0.7341
0.1916 0.4575 0.0794
0.2500 0.7500 0.5000
0.3781 0.1122 0.9206
0.4575 0.3781 0.2659
0.5425 0.6219 0.7341
0.6219 0.8878 0.0794
0.7500 0.2500 0.5000
0.8084 0.5425 0.9206
0.8878 0.8084 0.2659
```

The calculation puts the total magnetization at 3.10 Bohr magnetons per cell. The value obtained for the uncorrected formation energy is -3287.3 kJ/mol of formula units. As for the crystal system: tetragonal.

---

A plane-wave DFT calculation with PBE-GGA was carried out for Rb2AgOsC after structural relaxation.

Structure (POSCAR):
```
Rb2AgOsC
1.0
6.3493 0.0000 0.0000
0.0000 6.3493 0.0000
0.0000 0.0000 4.9754
Rb Ag Os C
2 1 1 1
Direct
0.0000 0.5000 0.0000
0.5000 0.0000 0.0000
0.0000 0.0000 0.0000
0.0000 0.0000 0.5000
0.5000 0.5000 0.5000
```

The calculation puts the total magnetization at 0.00 Bohr magnetons per cell. As for the crystal system: tetragonal. The energy relative to the elements is 2.604 eV per atom.

---

A plane-wave DFT calculation with PBE-GGA was carried out for Y16Ho6Tm7 after structural relaxation.

Structure (POSCAR):
```
Y16Ho6Tm7
1.0
0.0000 7.8410 7.8410
7.8410 0.0000 7.8410
7.8410 7.8410 0.0000
Y Ho Tm
16 6 7
Direct
0.0446 0.6518 0.6518
0.1214 0.1214 0.1214
0.1214 0.1214 0.6358
0.1214 0.6358 0.1214
0.3482 0.3482 0.3482
0.3482 0.3482 0.9554
0.3482 0.9554 0.3482
0.3642 0.8786 0.8786
0.6358 0.1214 0.1214
0.6518 0.0446 0.6518
0.6518 0.6518 0.0446
0.6518 0.6518 0.6518
0.8786 0.3642 0.8786
0.8786 0.8786 0.3642
0.8786 0.8786 0.8786
0.9554 0.3482 0.3482
0.2773 0.2773 0.7227
0.2773 0.7227 0.2773
0.2773 0.7227 0.7227
0.7227 0.2773 0.2773
0.7227 0.2773 0.7227
0.7227 0.7227 0.2773
0.0000 0.0000 0.0000
0.0000 0.0000 0.5000
0.0000 0.5000 0.0000
0.0000 0.5000 0.5000
0.5000 0.0000 0.0000
0.5000 0.0000 0.5000
0.5000 0.5000 0.0000
```

The calculation puts the total magnetization at 0.28 Bohr magnetons per cell. As for the crystal system: cubic. The energy relative to the elements is 0.245 eV per atom.

---

A plane-wave DFT calculation with PBE-GGA was carried out for BeInAsH2 after structural relaxation.

Structure (POSCAR):
```
BeInAsH2
1.0
3.6103 0.0000 0.0000
0.0000 3.6103 0.0000
0.0000 0.0000 5.8612
Be In As H
1 1 1 2
Direct
0.0000 0.0000 0.0000
0.5000 0.5000 0.0000
0.5000 0.5000 0.5000
0.0000 0.5000 0.5000
0.5000 0.0000 0.5000
```

Its total DFT energy (no corrections) is -15.00 eV per cell. The calculation puts the total magnetization at 0.00 Bohr magnetons per cell. As for the crystal system: tetragonal.

---

A plane-wave DFT calculation with PBE-GGA was carried out for HRhAuBr after structural relaxation.

Structure (POSCAR):
```
HRhAuBr
1.0
4.1488 0.0000 0.0000
0.0000 3.6031 0.0000
-0.0087 0.0000 4.8385
H Rh Au Br
1 1 1 1
Direct
0.0000 0.0000 0.0000
0.9715 0.5000 0.9995
0.4701 0.0000 0.9976
0.8351 0.5000 0.4993
```

Its total DFT energy (no corrections) is -14.99 eV per cell. The calculation puts the total magnetization at 0.00 Bohr magnetons per cell. As for the crystal system: monoclinic.

---

A plane-wave DFT calculation with PBE-GGA was carried out for Ce2CdCu2 after structural relaxation.

Structure (POSCAR):
```
Ce2CdCu2
1.0
4.3737 -3.5520 0.0000
4.3737 3.5520 0.0000
-2.2036 0.0000 7.1661
Ce Cd Cu
4 2 4
Direct
0.1673 0.1673 0.2296
0.2973 0.2973 0.7548
0.7027 0.7027 0.2452
0.8327 0.8327 0.7704
0.2745 0.7255 0.5000
0.7255 0.2745 0.5000
0.1779 0.6201 0.0964
0.3799 0.8221 0.9036
0.6201 0.1779 0.0964
0.8221 0.3799 0.9036
```

The calculation puts the total magnetization at 3.35 Bohr magnetons per cell. As for the crystal system: monoclinic. The energy relative to the elements is -0.151 eV per atom.

---

A plane-wave DFT calculation with PBE-GGA was carried out for NaTc3Ge after structural relaxation.

Structure (POSCAR):
```
NaTc3Ge
1.0
4.5302 0.0000 0.0000
0.0000 4.5302 0.0000
0.0000 0.0000 4.5302
Na Tc Ge
1 3 1
Direct
0.0000 0.0000 0.0000
0.0000 0.0000 0.5000
0.0000 0.5000 0.0000
0.5000 0.0000 0.0000
0.5000 0.5000 0.5000
```

The calculation puts the total magnetization at 5.80 Bohr magnetons per cell. As for the crystal system: cubic. The energy relative to the elements is 2.411 eV per atom.

---

Question: Among the records above, which one has the highest total magnetization?
Answer: NaTc3Ge

---

Repeat the fourth record exactly.
A plane-wave DFT calculation with PBE-GGA was carried out for Y16Ho6Tm7 after structural relaxation.

Structure (POSCAR):
```
Y16Ho6Tm7
1.0
0.0000 7.8410 7.8410
7.8410 0.0000 7.8410
7.8410 7.8410 0.0000
Y Ho Tm
16 6 7
Direct
0.0446 0.6518 0.6518
0.1214 0.1214 0.1214
0.1214 0.1214 0.6358
0.1214 0.6358 0.1214
0.3482 0.3482 0.3482
0.3482 0.3482 0.9554
0.3482 0.9554 0.3482
0.3642 0.8786 0.8786
0.6358 0.1214 0.1214
0.6518 0.0446 0.6518
0.6518 0.6518 0.0446
0.6518 0.6518 0.6518
0.8786 0.3642 0.8786
0.8786 0.8786 0.3642
0.8786 0.8786 0.8786
0.9554 0.3482 0.3482
0.2773 0.2773 0.7227
0.2773 0.7227 0.2773
0.2773 0.7227 0.7227
0.7227 0.2773 0.2773
0.7227 0.2773 0.7227
0.7227 0.7227 0.2773
0.0000 0.0000 0.0000
0.0000 0.0000 0.5000
0.0000 0.5000 0.0000
0.0000 0.5000 0.5000
0.5000 0.0000 0.0000
0.5000 0.0000 0.5000
0.5000 0.5000 0.0000
```

The calculation puts the total magnetization at 0.28 Bohr magnetons per cell. As for the crystal system: cubic. The energy relative to the elements is 0.245 eV per atom.

---

Please write out number 1 again, unchanged.
A plane-wave DFT calculation with PBE-GGA was carried out for BeFeSi3 after structural relaxation.

Structure (POSCAR):
```
BeFeSi3
1.0
4.1254 0.0000 0.0000
0.0000 4.1254 0.0000
0.0000 0.0000 4.1254
Be Fe Si
1 1 3
Direct
0.0000 0.0000 0.0000
0.5000 0.5000 0.5000
0.0000 0.0000 0.5000
0.0000 0.5000 0.0000
0.5000 0.0000 0.0000
```

The calculation puts the total magnetization at 0.00 Bohr magnetons per cell. The value obtained for the uncorrected formation energy is 521.6 kJ/mol of formula units. As for the crystal system: cubic.

---

Question: Look up the total magnetization of the second one.
Answer: 3.10 Bohr magnetons per cell